The following is a DFT calculation (PBE+U) of a geometry-optimized CoRuI2O structure.

Geometry as CIF:
```
data_CoRuI2O
_chemical_formula_sum 'Co1 Ru1 I2 O1'
_space_group_name_H-M_alt 'P 4/m m m'
_space_group_IT_number 123
_space_group_name_Hall '-P 4 2'
_cell_length_a 5.584
_cell_length_b 5.584
_cell_length_c 3.541
_cell_angle_alpha 90.00
_cell_angle_beta 90.00
_cell_angle_gamma 90.00
loop_
_atom_site_label
_atom_site_type_symbol
_atom_site_fract_x
_atom_site_fract_y
_atom_site_fract_z
Co1 Co 0.000 0.000 0.000
Ru1 Ru 0.500 0.500 0.500
I1 I 0.000 0.500 0.000
O1 O 0.000 0.000 0.500
```

Spin magnetization in μB/f.u.: 6.12
E_tot in eV for the cell shown: -19.95